P) CsRbSr2Cd, optimized geometry, DFT GGA-PBE; calculated volume = 325.25 Å³ per cell; density of states at the Fermi level = 5.00 states/eV/f.u.; M_tot = 0.0 μB per cell
1.0
6.628 0.000 0.000
0.000 6.628 0.000
0.000 0.000 7.404
Cs Rb Sr Cd
1 1 2 1
direct
0.000 0.000 0.000 Cs
0.500 0.500 0.000 Rb
0.000 0.500 0.500 Sr
0.500 0.000 0.500 Sr
0.500 0.500 0.500 Cd

---

Q) CsRbSr2Cd, optimized geometry, DFT GGA-PBE; calculated volume = 329.77 Å³ per cell; density of states at the Fermi level = 4.30 states/eV/f.u.; M_tot = 0.0 μB per cell
1.0
6.643 0.000 0.000
0.000 6.643 0.000
0.000 0.000 7.473
Cs Rb Sr Cd
1 1 2 1
direct
0.000 0.000 0.000 Cs
0.500 0.500 0.000 Rb
0.000 0.500 0.500 Sr
0.500 0.000 0.500 Sr
0.000 0.000 0.500 Cd

---

The most stable arrangement is P), and the next structure is 0.8 kJ/mol of atoms less stable.

---

P) CsRbTlCd2, optimized geometry, DFT GGA-PBE; calculated volume = 244.64 Å³ per cell; density of states at the Fermi level = 1.99 states/eV/f.u.; M_tot = 0.0 μB per cell
1.0
5.958 0.000 0.000
0.000 5.958 0.000
0.000 0.000 6.893
Cs Rb Tl Cd
1 1 1 2
direct
0.000 0.000 0.000 Cs
0.500 0.500 0.000 Rb
0.500 0.500 0.500 Tl
0.000 0.500 0.500 Cd
0.500 0.000 0.500 Cd

---

Q) CsRbTlCd2, optimized geometry, DFT GGA-PBE; calculated volume = 253.08 Å³ per cell; density of states at the Fermi level = 2.74 states/eV/f.u.; M_tot = 0.0 μB per cell
1.0
5.972 0.000 0.000
0.000 5.972 0.000
0.000 0.000 7.096
Cs Rb Tl Cd
1 1 1 2
direct
0.000 0.000 0.000 Cs
0.500 0.500 0.000 Rb
0.000 0.000 0.500 Tl
0.000 0.500 0.500 Cd
0.500 0.000 0.500 Cd

---

The most stable arrangement is P), and the next structure is 5.3 kJ/mol of atoms less stable.

---

P) Cs2RbZnCd, optimized geometry, DFT GGA-PBE; calculated volume = 321.43 Å³ per cell; density of states at the Fermi level = 4.21 states/eV/f.u.; M_tot = 0.0 μB per cell
1.0
7.812 0.000 0.000
0.000 7.812 0.000
0.000 0.000 5.267
Cs Rb Zn Cd
2 1 1 1
direct
0.000 0.500 0.000 Cs
0.500 0.000 0.000 Cs
0.000 0.000 0.500 Rb
0.500 0.500 0.500 Zn
0.500 0.500 0.000 Cd

---

Q) Cs2RbZnCd, optimized geometry, DFT GGA-PBE; calculated volume = 305.55 Å³ per cell; density of states at the Fermi level = 5.09 states/eV/f.u.; M_tot = 0.0 μB per cell
1.0
7.594 0.000 0.000
0.000 7.594 0.000
0.000 0.000 5.299
Cs Rb Zn Cd
2 1 1 1
direct
0.000 0.500 0.000 Cs
0.500 0.000 0.000 Cs
0.000 0.000 0.500 Rb
0.500 0.500 0.000 Zn
0.500 0.500 0.500 Cd

---

The most stable arrangement is Q), and the next structure is 2.0 kJ/mol of atoms less stable.

---

P) CsCdRh3, optimized geometry, DFT GGA-PBE; calculated volume = 133.46 Å³ per cell; density of states at the Fermi level = 8.43 states/eV/f.u.; M_tot = 2.3 μB per cell
1.0
5.110 0.000 0.000
0.000 5.110 0.000
0.000 0.000 5.110
Cs Cd Rh
1 1 3
direct
0.000 0.000 0.000 Cs
0.500 0.500 0.500 Cd
0.000 0.500 0.500 Rh
0.500 0.000 0.500 Rh
0.500 0.500 0.000 Rh

---

Q) CsCdRh3, optimized geometry, DFT GGA-PBE; calculated volume = 120.84 Å³ per cell; density of states at the Fermi level = 1.88 states/eV/f.u.; M_tot = 0.0 μB per cell
1.0
4.944 0.000 0.000
0.000 4.944 0.000
0.000 0.000 4.944
Cs Cd Rh
1 1 3
direct
0.000 0.000 0.000 Cs
0.500 0.500 0.500 Cd
0.000 0.000 0.500 Rh
0.000 0.500 0.000 Rh
0.500 0.000 0.000 Rh

---

The most stable arrangement is P), and the next structure is 55.6 kJ/mol of atoms less stable.